CoSnNF2 | PBE+U | optimized geometry

Results
Energy above the most stable polymorph in this dataset ... 0.00 kcal/mol of atoms
Electronic total energy ... -4.929 eV per atom
SG ... P4/mmm (123)
V ... 65 Å³/f.u.

Cell lengths 4.127, 4.127, 3.804 Å; angles 90.00, 90.00, 90.00 degrees
Last column: magnetic moment on the atom in μB.
Atoms (fractional coordinates):
N 0.000 0.000 0.500  0.32
Co 0.000 0.000 0.000  2.47
Sn 0.500 0.500 0.500  0.06
F 0.000 0.500 0.000  0.04
F 0.500 0.000 0.000  0.04